Material: Li2P2WO8
Method: DFT, PBE+U
State: relaxed

M_tot = 0.154 μB per atom
Space group = P2_1/c, No. 14
VASP energy = -6.996 eV per atom

Cell: 5.164 8.074 9.182 Å, 90.00 122.38 90.00°
Fractional positions:
Li 0.009 0.130 0.412
Li 0.009 0.370 0.912
Li 0.991 0.630 0.088
Li 0.991 0.870 0.588
P 0.330 0.194 0.798
P 0.330 0.306 0.298
P 0.670 0.694 0.702
P 0.670 0.806 0.202
W 0.000 0.000 0.000
W 0.000 0.500 0.500
O 0.190 0.073 0.652
O 0.190 0.427 0.152
O 0.205 0.125 0.235
O 0.205 0.375 0.735
O 0.256 0.158 0.939
O 0.256 0.342 0.439
O 0.310 0.693 0.609
O 0.310 0.807 0.109
O 0.690 0.193 0.891
O 0.690 0.307 0.391
O 0.744 0.658 0.561
O 0.744 0.842 0.061
O 0.795 0.625 0.265
O 0.795 0.875 0.765
O 0.810 0.573 0.848
O 0.810 0.927 0.348